An optimized crystal structure of KTlGa2Fe. Source: the Alexandria database, functional PBE.

Unit cell a=4.743 b=4.743 c=5.113 alpha=90.00 beta=90.00 gamma=90.00
Positions (direct):
1 K 0.000 0.000 0.000
2 Tl 0.500 0.500 0.000
3 Ga 0.000 0.500 0.500
4 Ga 0.500 0.000 0.500
5 Fe 0.500 0.500 0.500

Computed properties:
For the magnetic moment, the calculation gives 0.000 μB per atom. The space-group type is P4/mmm. The calculation puts the formation energy at -0.18 eV/f.u. The value obtained for the volume is 115.0 Å³/cell.